Compound: As4PbAu
Source: the Alexandria database
Functional: PBE
Structure: optimized geometry

Calculated values
Fermi-level density of states = 0.8 states/eV/f.u.
Calculated volume = 21.9 Å³/atom
Crystal system = cubic
Total moment = 0.00 μB per cell
Electronic total energy = -3.93 eV per atom

Unit cell a=5.706 b=5.706 c=5.706 alpha=60.00 beta=60.00 gamma=60.00
Element x y z (fractional)
As 0.121 0.121 0.121
As 0.121 0.121 0.636
As 0.121 0.636 0.121
As 0.636 0.121 0.121
Pb 0.500 0.500 0.500
Au 0.750 0.750 0.750